Entry 1:
VASP calculation (PBE) on ErTiFe11N after structural relaxation.

Cell and atoms, written as POSCAR:
```
ErTiFe11N
1.0
-2.3875 4.2967 4.2655
2.3875 -4.2967 4.2655
2.3875 4.2967 -4.2655
Er Ti Fe N
1 1 11 1
Cartesian
0.0000 0.0000 0.0000
0.0000 0.0000 3.1828
1.1914 2.1332 -2.0716
3.5837 2.1332 -2.0716
2.3875 0.0000 1.9627
2.3875 1.9063 0.0885
0.0000 3.0822 0.0651
-1.1961 2.1634 2.1939
1.1961 2.1634 2.1939
0.0000 5.5111 0.0651
0.0000 0.0000 5.5514
0.0000 4.2967 2.3989
0.0000 2.3904 4.3541
2.3875 0.0000 0.0513
```

Output
E_form (uncorrected)   -2.61 eV/f.u.

=====

Entry 2:
VASP calculation (PBE) on ErV2Fe10N after structural relaxation.

Cell and atoms, written as POSCAR:
```
ErV2Fe10N
1.0
-2.3613 4.2663 4.2830
2.3613 -4.2663 4.2830
2.3613 4.2663 -4.2830
Er V Fe N
1 2 10 1
Cartesian
0.0000 0.0000 0.0000
0.0000 0.0000 3.0716
0.0000 0.0000 5.4944
1.1807 2.1331 -2.1415
1.1807 -2.1331 2.1415
2.3613 0.0000 1.9109
2.3613 1.9161 0.0000
0.0000 3.0719 0.0000
-1.1807 2.1331 2.1415
1.1807 2.1331 2.1415
0.0000 5.4607 0.0000
0.0000 2.3502 4.2830
0.0000 4.2663 2.3721
2.3613 0.0000 0.0000
```

Output
E_form (uncorrected)   -2.37 eV/f.u.

=====

Entry 3:
VASP calculation (PBE) on NaEr2Fe after structural relaxation.

Cell and atoms, written as POSCAR:
```
NaEr2Fe
1.0
3.2977 0.0000 0.0000
0.0000 3.2977 0.0000
0.0000 0.0000 9.3540
Na Er Fe
1 2 1
Cartesian
0.0000 0.0000 0.0000
1.6488 1.6488 3.0890
1.6488 1.6488 6.2650
0.0000 0.0000 4.6770
```

Output
Offset from the most stable computed form   0 meV per atom
E_form   53.5 meV/atom

=====

Number 1: magnetization 23.3 μB/f.u.. Number 2: magnetization 18.1 μB/f.u.. Number 3: magnetization 0.0 μB/f.u..